{"formula": "LiGaSn2Cl", "functional": "GGA-PBE", "state": "relaxed", "e_form_raw_ev_per_fu": 1.209, "sg": "No. 123", "lattice_angstrom": [[5.4379, 0.0000, 0.0000], [0.0000, 5.3465, 0.0000], [0.0000, 0.0000, 5.4379]], "species": ["Sn", "Sn", "Ga", "Li", "Cl"], "frac_coords": [[0.5000, 0.0000, 0.0000], [0.0000, 0.0000, 0.5000], [0.0000, 0.5000, 0.0000], [0.5000, 0.5000, 0.5000], [0.0000, 0.0000, 0.0000]]}

***

{"formula": "Te5Ir", "functional": "GGA-PBE", "state": "relaxed", "e_form_raw_ev_per_fu": 2.167, "relative_energy_mev_per_atom": 476.1, "sg": "No. 123", "lattice_angstrom": [[3.4197, 0.0000, 0.0000], [0.0000, 3.4197, 0.0000], [0.0000, 0.0000, 13.3058]], "species": ["Te", "Te", "Te", "Te", "Te", "Ir"], "frac_coords": [[0.0000, 0.0000, 0.8810], [0.5000, 0.5000, 0.6678], [0.0000, 0.0000, 0.1190], [0.0000, 0.0000, 0.5000], [0.5000, 0.5000, 0.3322], [0.5000, 0.5000, 0.0000]]}

***

{"formula": "TeAsAu2", "functional": "GGA-PBE", "state": "relaxed", "e_form_raw_ev_per_fu": 1.252, "relative_energy_mev_per_atom": 300.8, "sg": "No. 139", "lattice_angstrom": [[-2.9669, -3.5816, 3.4943], [0.7057, -5.7567, -0.4491], [3.2859, 4.7816, 0.4227]], "species": ["As", "Te", "Au", "Au"], "frac_coords": [[0.7500, 0.2500, 0.5000], [0.2500, 0.7500, 0.5000], [0.5000, 0.5000, 0.0000], [0.0000, 0.0000, 0.0000]]}

***

{"formula": "Cu5Ge3Pd12", "functional": "GGA-PBE", "state": "relaxed", "sg": "No. 230", "lattice_angstrom": [[-3.5483, -11.8997, -0.3701], [11.9302, 0.6599, 3.4007], [-6.9950, 6.1533, 8.2181]], "species": ["Pd", "Pd", "Pd", "Pd", "Pd", "Pd", "Pd", "Pd", "Pd", "Pd", "Pd", "Pd", "Pd", "Pd", "Pd", "Pd", "Pd", "Pd", "Pd", "Pd", "Pd", "Pd", "Pd", "Pd", "Pd", "Pd", "Pd", "Pd", "Pd", "Pd", "Pd", "Pd", "Pd", "Pd", "Pd", "Pd", "Pd", "Pd", "Pd", "Pd", "Pd", "Pd", "Pd", "Pd", "Pd", "Pd", "Pd", "Pd", "Cu", "Cu", "Cu", "Cu", "Cu", "Cu", "Cu", "Cu", "Cu", "Cu", "Cu", "Cu", "Cu", "Cu", "Cu", "Cu", "Cu", "Cu", "Cu", "Cu", "Ge", "Ge", "Ge", "Ge", "Ge", "Ge", "Ge", "Ge", "Ge", "Ge", "Ge", "Ge"], "frac_coords": [[0.4333, 0.3684, 0.5995], [0.6662, 0.2311, 0.5995], [0.2311, 0.5649, 0.6316], [0.9333, 0.0995, 0.8684], [0.8684, 0.2689, 0.4351], [0.3684, 0.9351, 0.7689], [0.0649, 0.4333, 0.8338], [0.5649, 0.2311, 0.1316], [0.6662, 0.4351, 0.5667], [0.4351, 0.7689, 0.8684], [0.7689, 0.3338, 0.9005], [0.1316, 0.4005, 0.0667], [0.1316, 0.7311, 0.5649], [0.4333, 0.0649, 0.3338], [0.1662, 0.0667, 0.9351], [0.4005, 0.2689, 0.3338], [0.9333, 0.8338, 0.5649], [0.0667, 0.1662, 0.4351], [0.0995, 0.1662, 0.2311], [0.0649, 0.6316, 0.7311], [0.4351, 0.6662, 0.0667], [0.3684, 0.4333, 0.0995], [0.6316, 0.5667, 0.9005], [0.3338, 0.5649, 0.4333], [0.5995, 0.8684, 0.4333], [0.2689, 0.4005, 0.8338], [0.6316, 0.0649, 0.2311], [0.8338, 0.9005, 0.2689], [0.5649, 0.3338, 0.9333], [0.9351, 0.3684, 0.2689], [0.0995, 0.9333, 0.3684], [0.7311, 0.5995, 0.1662], [0.4005, 0.1316, 0.5667], [0.3338, 0.7689, 0.4005], [0.7311, 0.1316, 0.0649], [0.0667, 0.9005, 0.1316], [0.9351, 0.5667, 0.1662], [0.8684, 0.5995, 0.9333], [0.9005, 0.0667, 0.6316], [0.5995, 0.7311, 0.6662], [0.2689, 0.8684, 0.9351], [0.1662, 0.0995, 0.7311], [0.8338, 0.9333, 0.0649], [0.5667, 0.9351, 0.6662], [0.5667, 0.6316, 0.4005], [0.2311, 0.6662, 0.0995], [0.9005, 0.8338, 0.7689], [0.7689, 0.4351, 0.3684], [0.7500, 0.6250, 0.3750], [0.7500, 0.1250, 0.8750], [0.5000, 0.0000, 0.5000], [0.6250, 0.8750, 0.2500], [0.1250, 0.3750, 0.2500], [0.5000, 0.5000, 0.0000], [0.1250, 0.7500, 0.3750], [0.3750, 0.1250, 0.7500], [0.0000, 0.5000, 0.5000], [0.3750, 0.2500, 0.1250], [0.0000, 0.5000, 0.0000], [0.8750, 0.2500, 0.6250], [0.8750, 0.6250, 0.7500], [0.0000, 0.0000, 0.5000], [0.5000, 0.0000, 0.0000], [0.6250, 0.7500, 0.8750], [0.5000, 0.5000, 0.5000], [0.2500, 0.8750, 0.1250], [0.0000, 0.0000, 0.0000], [0.2500, 0.3750, 0.6250], [0.1250, 0.8750, 0.7500], [0.1250, 0.2500, 0.8750], [0.2500, 0.6250, 0.8750], [0.6250, 0.2500, 0.3750], [0.7500, 0.8750, 0.6250], [0.8750, 0.7500, 0.1250], [0.3750, 0.7500, 0.6250], [0.2500, 0.1250, 0.3750], [0.6250, 0.3750, 0.7500], [0.3750, 0.6250, 0.2500], [0.7500, 0.3750, 0.1250], [0.8750, 0.1250, 0.2500]]}

***

| no. | calculated total energy (eV per atom) |
| --- | --- |
| 1 | -2.7168 |
| 2 | -3.7338 |
| 3 | -3.2735 |
| 4 | -4.6189 |